Record 1
The following is a DFT calculation (PBE-GGA) of crystalline Fe4ReAg at its relaxed geometry.

The structure in CIF format:
```
data_Fe4ReAg
_symmetry_space_group_name_H-M 'F -4 3 m'
_symmetry_Int_Tables_number 216
_symmetry_space_group_name_Hall 'F -4 2 3'
_cell_length_a 6.716
_cell_length_b 6.716
_cell_length_c 6.716
_cell_angle_alpha 90.00
_cell_angle_beta 90.00
_cell_angle_gamma 90.00
loop_
_atom_site_label
_atom_site_type_symbol
_atom_site_fract_x
_atom_site_fract_y
_atom_site_fract_z
Fe1 Fe 0.124 0.124 0.376
Re1 Re 0.250 0.250 0.750
Ag1 Ag 0.000 0.000 0.000
```

## Properties
D(E_F) in states/eV/atom: 0.817
Formation energy from the elements in meV per atom: 276
Mass density in g/cm3: 11.347
Volume in Å³/cell: 302.9



Record 2
The following is a DFT calculation (PBE-GGA) of crystalline Pu2MnAl at its relaxed geometry.

The structure in CIF format:
```
data_Pu2MnAl
_symmetry_space_group_name_H-M 'P 4/m m m'
_symmetry_Int_Tables_number 123
_symmetry_space_group_name_Hall '-P 4 2'
_cell_length_a 3.745
_cell_length_b 3.745
_cell_length_c 5.791
_cell_angle_alpha 90.00
_cell_angle_beta 90.00
_cell_angle_gamma 90.00
loop_
_atom_site_label
_atom_site_type_symbol
_atom_site_fract_x
_atom_site_fract_y
_atom_site_fract_z
Pu1 Pu 0.000 0.000 0.247
Mn1 Mn 0.500 0.500 0.000
Al1 Al 0.500 0.500 0.500
```

## Properties
D(E_F) in states/eV/atom: 2.483
Energy relative to the lowest polymorph listed for this composition in eV per formula unit: 0.00
Formation energy from the elements in meV per atom: -23
Mass density in g/cm3: 11.653
Volume in Å³/cell: 81.2



Record 3
The following is a DFT calculation (PBE-GGA) of crystalline SrNdO2 at its relaxed geometry.

The structure in CIF format:
```
data_SrNdO2
_symmetry_space_group_name_H-M 'R 3 m'
_symmetry_Int_Tables_number 160
_symmetry_space_group_name_Hall 'R 3 -2"'
_cell_length_a 3.5261
_cell_length_b 3.5261
_cell_length_c 18.8056
_cell_angle_alpha 90.00
_cell_angle_beta 90.00
_cell_angle_gamma 120.00
loop_
_atom_site_label
_atom_site_type_symbol
_atom_site_fract_x
_atom_site_fract_y
_atom_site_fract_z
Sr1 Sr 0.0000 0.0000 0.0000
Nd1 Nd 0.0000 0.0000 0.1734
O1 O 0.0000 0.0000 0.5850
O2 O 0.0000 0.0000 0.7586
```

## Properties
D(E_F) in states/eV/atom: 0.358
Energy relative to the lowest polymorph listed for this composition in eV per formula unit: 0.54
Mass density in g/cm3: 6.491
Formation energy (no corrections) in kJ per mole of atoms: -247.4
Volume in Å³/cell: 202.5



Record 4
The following is a DFT calculation (PBE-GGA) of crystalline Rb2ZnH at its relaxed geometry.

The structure in CIF format:
```
data_Rb2ZnH
_symmetry_space_group_name_H-M 'I -4 2 d'
_symmetry_Int_Tables_number 122
_symmetry_space_group_name_Hall 'I -4 2bw'
_cell_length_a 8.590
_cell_length_b 8.590
_cell_length_c 8.749
_cell_angle_alpha 90.00
_cell_angle_beta 90.00
_cell_angle_gamma 90.00
loop_
_atom_site_label
_atom_site_type_symbol
_atom_site_fract_x
_atom_site_fract_y
_atom_site_fract_z
Rb1 Rb 0.161 0.250 0.125
Zn1 Zn 0.000 0.000 0.500
H1 H 0.000 0.000 0.000
```

## Properties
D(E_F) in states/eV/atom: 0.595
Energy relative to the lowest polymorph listed for this composition in eV per formula unit: 0.00
Mass density in g/cm3: 2.442
Volume in Å³/cell: 645.7



Record 5
The following is a DFT calculation (PBE-GGA) of crystalline MnBeNi4 at its relaxed geometry.

The structure in CIF format:
```
data_MnBeNi4
_symmetry_space_group_name_H-M 'F -4 3 m'
_symmetry_Int_Tables_number 216
_symmetry_space_group_name_Hall 'F -4 2 3'
_cell_length_a 6.539
_cell_length_b 6.539
_cell_length_c 6.539
_cell_angle_alpha 90.00
_cell_angle_beta 90.00
_cell_angle_gamma 90.00
loop_
_atom_site_label
_atom_site_type_symbol
_atom_site_fract_x
_atom_site_fract_y
_atom_site_fract_z
Mn1 Mn 0.000 0.000 0.000
Be1 Be 0.250 0.250 0.250
Ni1 Ni 0.125 0.125 0.625
```

## Properties
D(E_F) in states/eV/atom: 1.061
Formation energy from the elements in meV per atom: 76
Mass density in g/cm3: 7.096
Volume in Å³/cell: 279.6



Record 6
The following is a DFT calculation (PBE-GGA) of crystalline HfNiH2 at its relaxed geometry.

The structure in CIF format:
```
data_HfNiH2
_symmetry_space_group_name_H-M 'I -4 2 d'
_symmetry_Int_Tables_number 122
_symmetry_space_group_name_Hall 'I -4 2bw'
_cell_length_a 3.921
_cell_length_b 3.921
_cell_length_c 9.588
_cell_angle_alpha 90.00
_cell_angle_beta 90.00
_cell_angle_gamma 90.00
loop_
_atom_site_label
_atom_site_type_symbol
_atom_site_fract_x
_atom_site_fract_y
_atom_site_fract_z
Hf1 Hf 0.000 0.000 0.000
Ni1 Ni 0.000 0.000 0.500
H1 H 0.160 0.250 0.625
```

## Properties
D(E_F) in states/eV/atom: 0.510
Energy relative to the lowest polymorph listed for this composition in eV per formula unit: 0.68
Mass density in g/cm3: 10.778
Volume in Å³/cell: 147.4



Record 7
The following is a DFT calculation (PBE-GGA) of crystalline LiMnZn4 at its relaxed geometry.

The structure in CIF format:
```
data_LiMnZn4
_symmetry_space_group_name_H-M 'P m m m'
_symmetry_Int_Tables_number 47
_cell_length_a 2.674
_cell_length_b 4.477
_cell_length_c 7.536
_cell_angle_alpha 90.00
_cell_angle_beta 90.00
_cell_angle_gamma 90.00
loop_
_symmetry_equiv_pos_as_xyz
'x,y,z'
'-x,-y,-z'
'-x,-y,z'
'x,y,-z'
'x,-y,-z'
'-x,y,z'
'-x,y,-z'
'x,-y,z'
loop_
_atom_site_label
_atom_site_type_symbol
_atom_site_fract_x
_atom_site_fract_y
_atom_site_fract_z
Li1 Li 0.000 0.000 0.000
Mn1 Mn 0.500 0.500 0.500
Zn1 Zn 0.000 0.500 0.187
Zn2 Zn 0.500 0.000 0.322
```

## Properties
D(E_F) in states/eV/atom: 0.388
Energy relative to the lowest polymorph listed for this composition in eV per formula unit: 0.50
Formation energy from the elements in meV per atom: 67
Mass density in g/cm3: 5.955
Volume in Å³/cell: 90.2



Record 8
The following is a DFT calculation (PBE-GGA) of crystalline TlPbClO2 at its relaxed geometry.

The structure in CIF format:
```
data_TlPbClO2
_symmetry_space_group_name_H-M 'P 1 21/m 1'
_symmetry_Int_Tables_number 11
_cell_length_a 6.815
_cell_length_b 4.287
_cell_length_c 8.088
_cell_angle_alpha 90.00
_cell_angle_beta 90.95
_cell_angle_gamma 90.00
loop_
_symmetry_equiv_pos_as_xyz
'x,y,z'
'-x,-y,-z'
'-x,y+1/2,-z'
'x,-y+1/2,z'
loop_
_atom_site_label
_atom_site_type_symbol
_atom_site_fract_x
_atom_site_fract_y
_atom_site_fract_z
Tl1 Tl 0.113 0.250 0.365
Pb1 Pb 0.197 0.250 0.894
Cl1 Cl 0.469 0.250 0.288
O1 O 0.021 0.250 0.627
O2 O 0.029 0.750 0.882
```

## Properties
Mass density in g/cm3: 6.733
Formation energy (no corrections) in kJ per mole of atoms: -88.1
Volume in Å³/cell: 236.3



Record 9
The following is a DFT calculation (PBE-GGA) of crystalline LaHfHg2 at its relaxed geometry.

The structure in CIF format:
```
data_LaHfHg2
_symmetry_space_group_name_H-M 'F m -3 m'
_symmetry_Int_Tables_number 225
_symmetry_space_group_name_Hall '-F 4 2 3'
_cell_length_a 7.433
_cell_length_b 7.433
_cell_length_c 7.433
_cell_angle_alpha 90.00
_cell_angle_beta 90.00
_cell_angle_gamma 90.00
loop_
_atom_site_label
_atom_site_type_symbol
_atom_site_fract_x
_atom_site_fract_y
_atom_site_fract_z
La1 La 0.000 0.000 0.000
Hf1 Hf 0.000 0.000 0.500
Hg1 Hg 0.250 0.250 0.250
```

## Properties
D(E_F) in states/eV/atom: 0.834
Energy relative to the lowest polymorph listed for this composition in eV per formula unit: 0.35
Formation energy from the elements in meV per atom: -108
Mass density in g/cm3: 11.623
Volume in Å³/cell: 410.6



Record 10
The following is a DFT calculation (PBE-GGA) of crystalline Tb4ErS7 at its relaxed geometry.

The structure in CIF format:
```
data_Tb4ErS7
_symmetry_space_group_name_H-M 'C 1 m 1'
_symmetry_Int_Tables_number 8
_cell_length_a 12.883
_cell_length_b 3.820
_cell_length_c 11.630
_cell_angle_alpha 90.00
_cell_angle_beta 104.73
_cell_angle_gamma 90.00
loop_
_symmetry_equiv_pos_as_xyz
'x,y,z'
'x,-y,z'
'x+1/2,y+1/2,z'
'x+1/2,-y+1/2,z'
loop_
_atom_site_label
_atom_site_type_symbol
_atom_site_fract_x
_atom_site_fract_y
_atom_site_fract_z
Tb1 Tb 0.000 0.000 0.000
Tb2 Tb 0.088 0.500 0.389
Tb3 Tb 0.189 0.000 0.767
Tb4 Tb 0.388 0.500 0.577
Er1 Er 0.276 0.500 0.156
S1 S 0.048 0.500 0.629
S2 S 0.130 0.500 0.932
S3 S 0.150 0.000 0.225
S4 S 0.228 0.000 0.526
S5 S 0.347 0.500 0.793
S6 S 0.387 0.000 0.079
S7 S 0.429 0.500 0.360
```

## Properties
D(E_F) in states/eV/atom: 0.106
Mass density in g/cm3: 6.165
Formation energy (no corrections) in kJ per mole of atoms: -200.7
Volume in Å³/cell: 553.5



Record 11
The following is a DFT calculation (PBE-GGA) of crystalline CsYS2 at its relaxed geometry.

The structure in CIF format:
```
data_CsYS2
_symmetry_space_group_name_H-M 'F m -3 m'
_symmetry_Int_Tables_number 225
_symmetry_space_group_name_Hall '-F 4 2 3'
_cell_length_a 7.378
_cell_length_b 7.378
_cell_length_c 7.378
_cell_angle_alpha 90.00
_cell_angle_beta 90.00
_cell_angle_gamma 90.00
loop_
_atom_site_label
_atom_site_type_symbol
_atom_site_fract_x
_atom_site_fract_y
_atom_site_fract_z
Cs1 Cs 0.000 0.000 0.000
Y1 Y 0.000 0.000 0.500
S1 S 0.250 0.250 0.250
```

## Properties
D(E_F) in states/eV/atom: 0.000
Mass density in g/cm3: 4.729
Formation energy (no corrections) in kJ per mole of atoms: -104.1
Volume in Å³/cell: 401.6



Record 12
The following is a DFT calculation (PBE-GGA) of crystalline Li7AlTl3 at its relaxed geometry.

The structure in CIF format:
```
data_Li7AlTl3
_symmetry_space_group_name_H-M 'C m c m'
_symmetry_Int_Tables_number 63
_symmetry_space_group_name_Hall '-C 2c 2'
_cell_length_a 3.020
_cell_length_b 23.349
_cell_length_c 12.830
_cell_angle_alpha 90.00
_cell_angle_beta 90.00
_cell_angle_gamma 90.00
loop_
_atom_site_label
_atom_site_type_symbol
_atom_site_fract_x
_atom_site_fract_y
_atom_site_fract_z
Li1 Li 0.000 0.046 0.078
Li2 Li 0.000 0.074 0.639
Li3 Li 0.000 0.131 0.250
Li4 Li 0.000 0.240 0.609
Al1 Al 0.000 0.487 0.750
Tl1 Tl 0.000 0.335 0.250
Tl2 Tl 0.000 0.353 0.525
```

## Properties
D(E_F) in states/eV/atom: 0.489
Formation energy from the elements in meV per atom: -112
Mass density in g/cm3: 5.056
Volume in Å³/cell: 904.7



Number 1 is which compound?
Fe4ReAg